BeTe2PdN | PBE | optimized geometry

Unit cell a=5.498 b=5.498 c=3.672 alpha=90.00 beta=90.00 gamma=90.00
Fractional positions:
N  0.000  0.000  0.500
Te  0.500  0.000  0.000
Te  0.000  0.500  0.000
Be  0.500  0.500  0.500
Pd  0.000  0.000  0.000

## Properties
- Final energy: -18.56 eV per cell

***

BeTePdN2 | PBE | optimized geometry

Unit cell a=3.622 b=3.622 c=5.932 alpha=90.00 beta=90.00 gamma=90.00
Last column: magnetic moment on the atom in μB.
Fractional positions:
Pd  0.500  0.500  0.500  0.06
Te  0.000  0.000  0.500  0.09
Be  0.000  0.000  0.000  -0.03
N  0.000  0.500  0.000  0.57
N  0.500  0.000  0.000  0.57

## Properties
- Final energy: -22.66 eV per cell

***

Ti2BePdN | PBE | optimized geometry

Unit cell a=4.216 b=4.216 c=3.419 alpha=90.00 beta=90.00 gamma=90.00
Fractional positions:
N  0.000  0.000  0.000
Be  0.000  0.000  0.500
Pd  0.500  0.500  0.500
Ti  0.500  0.000  0.000
Ti  0.000  0.500  0.000

## Properties
- Final energy: -37.13 eV per cell

***

Q: Which of these has the lowest final energy?
A: Ti2BePdN

***

Q: Among the records above, which one has the highest final energy?
A: BeTe2PdN

***

Copy entry 1 word for word.
BeTe2PdN | PBE | optimized geometry

Unit cell a=5.498 b=5.498 c=3.672 alpha=90.00 beta=90.00 gamma=90.00
Fractional positions:
N  0.000  0.000  0.500
Te  0.500  0.000  0.000
Te  0.000  0.500  0.000
Be  0.500  0.500  0.500
Pd  0.000  0.000  0.000

## Properties
- Final energy: -18.56 eV per cell

***

Q: Among the records above, which one has the lowest final energy?
A: Ti2BePdN